Entry 1:
{
  "formula": "CuHg2Sb",
  "functional": "GGA-PBE",
  "state": "optimized geometry",
  "lattice": [[5.7412, 0.0000, 0.0000], [0.0000, 7.4364, 0.0000], [0.0000, 0.0000, 4.3925]],
  "species": ["Cu", "Cu", "Hg", "Hg", "Hg", "Hg", "Sb", "Sb"],
  "frac_coords": [[0.0000, 0.0000, 0.0000], [0.5000, 0.5000, 0.0000], [0.0000, 0.2102, 0.5000], [0.0000, 0.7898, 0.5000], [0.5000, 0.2898, 0.5000], [0.5000, 0.7102, 0.5000], [0.0000, 0.5000, 0.0000], [0.5000, 0.0000, 0.0000]],
  "rho_g_cm3": 10.4,
  "e_form_raw_kj_per_mol_fu": 82
}

=====

Entry 2:
{
  "formula": "CuHg2Sb",
  "functional": "GGA-PBE",
  "state": "optimized geometry",
  "lattice": [[4.1798, 0.0000, 0.0000], [0.0000, 4.1798, 0.0000], [0.0000, 0.0000, 21.1060]],
  "species": ["Cu", "Cu", "Cu", "Cu", "Hg", "Hg", "Hg", "Hg", "Hg", "Hg", "Hg", "Hg", "Sb", "Sb", "Sb", "Sb"],
  "frac_coords": [[0.0000, 0.0000, 0.0000], [0.0000, 0.5000, 0.2500], [0.5000, 0.0000, 0.7500], [0.5000, 0.5000, 0.5000], [0.2372, 0.2500, 0.1250], [0.2500, 0.7372, 0.3750], [0.2500, 0.7628, 0.8750], [0.2628, 0.2500, 0.6250], [0.7372, 0.7500, 0.6250], [0.7500, 0.2372, 0.8750], [0.7500, 0.2628, 0.3750], [0.7628, 0.7500, 0.1250], [0.0000, 0.0000, 0.5000], [0.0000, 0.5000, 0.7500], [0.5000, 0.0000, 0.2500], [0.5000, 0.5000, 0.0000]],
  "rho_g_cm3": 10.6,
  "e_form_raw_kj_per_mol_fu": 93
}

=====

Entry 3:
{
  "formula": "CuHg2Sb",
  "functional": "GGA-PBE",
  "state": "optimized geometry",
  "lattice": [[3.4786, 0.0000, 0.0000], [-1.7393, 3.0126, 0.0000], [0.0000, 0.0000, 25.9797]],
  "species": ["Cu", "Cu", "Cu", "Hg", "Hg", "Hg", "Hg", "Hg", "Hg", "Sb", "Sb", "Sb"],
  "frac_coords": [[0.0000, 0.0000, 0.0000], [0.3333, 0.6667, 0.6667], [0.6667, 0.3333, 0.3333], [0.0000, 0.0000, 0.2628], [0.0000, 0.0000, 0.7372], [0.3333, 0.6667, 0.4038], [0.3333, 0.6667, 0.9295], [0.6667, 0.3333, 0.0705], [0.6667, 0.3333, 0.5962], [0.0000, 0.0000, 0.5000], [0.3333, 0.6667, 0.1667], [0.6667, 0.3333, 0.8333]],
  "rho_g_cm3": 10.7,
  "e_form_raw_kj_per_mol_fu": 91
}

=====

Entry 4:
{
  "formula": "CuHgSb2",
  "functional": "GGA-PBE",
  "state": "optimized geometry",
  "lattice": [[3.1895, 0.0000, 0.0000], [0.0000, 3.7525, 0.0000], [0.0000, 0.0000, 8.7504]],
  "species": ["Cu", "Hg", "Sb", "Sb"],
  "frac_coords": [[0.0000, 0.0000, 0.0000], [0.0000, 0.0000, 0.5000], [0.5000, 0.5000, 0.1676], [0.5000, 0.5000, 0.8324]],
  "rho_g_cm3": 8.0,
  "e_form_raw_kj_per_mol_fu": 62
}

=====

Entry 5:
{
  "formula": "CuHgSb2",
  "functional": "GGA-PBE",
  "state": "optimized geometry",
  "lattice": [[4.6439, 0.0000, 0.0000], [0.0000, 4.6439, 0.0000], [0.0000, 0.0000, 8.5787]],
  "species": ["Cu", "Cu", "Hg", "Hg", "Sb", "Sb", "Sb", "Sb"],
  "frac_coords": [[0.0000, 0.0000, 0.0000], [0.5000, 0.5000, 0.5000], [0.0000, 0.0000, 0.5000], [0.5000, 0.5000, 0.0000], [0.0000, 0.5000, 0.2500], [0.0000, 0.5000, 0.7500], [0.5000, 0.0000, 0.2500], [0.5000, 0.0000, 0.7500]],
  "rho_g_cm3": 9.1,
  "e_form_raw_kj_per_mol_fu": 135
}

=====

Entry 6:
{
  "formula": "CuHg2Sb",
  "functional": "GGA-PBE",
  "state": "optimized geometry",
  "lattice": [[3.3589, 0.0000, 0.0000], [0.0000, 4.7578, 0.0000], [0.0000, 0.0000, 5.7711]],
  "species": ["Cu", "Hg", "Hg", "Sb"],
  "frac_coords": [[0.0000, 0.0000, 0.0000], [0.0000, 0.5000, 0.5000], [0.5000, 0.0000, 0.5000], [0.5000, 0.5000, 0.0000]],
  "rho_g_cm3": 10.6,
  "e_form_raw_kj_per_mol_fu": 117
}

=====

Entry 7:
{
  "formula": "CuHgSb2",
  "functional": "GGA-PBE",
  "state": "optimized geometry",
  "lattice": [[6.0697, 0.0000, 0.0000], [0.0000, 8.3066, 0.0000], [-3.0142, 0.0000, 3.9721]],
  "species": ["Cu", "Cu", "Hg", "Hg", "Sb", "Sb", "Sb", "Sb"],
  "frac_coords": [[0.0000, 0.0000, 0.0000], [0.5000, 0.5000, 0.0000], [0.0000, 0.5000, 0.0000], [0.5000, 0.0000, 0.0000], [0.2500, 0.2500, 0.5000], [0.2500, 0.7500, 0.5000], [0.7500, 0.2500, 0.5000], [0.7500, 0.7500, 0.5000]],
  "rho_g_cm3": 8.4,
  "e_form_raw_kj_per_mol_fu": 100
}

=====

Entry 8:
{
  "formula": "CuHg2Sb",
  "functional": "GGA-PBE",
  "state": "optimized geometry",
  "lattice": [[3.0999, 0.0000, 0.0000], [0.0000, 5.5105, 0.0000], [0.0000, 0.0000, 10.4466]],
  "species": ["Cu", "Cu", "Hg", "Hg", "Hg", "Hg", "Sb", "Sb"],
  "frac_coords": [[0.0000, 0.0000, 0.0000], [0.5000, 0.5000, 0.5000], [0.0000, 0.5000, 0.2848], [0.0000, 0.5000, 0.7152], [0.5000, 0.0000, 0.2152], [0.5000, 0.0000, 0.7848], [0.0000, 0.0000, 0.5000], [0.5000, 0.5000, 0.0000]],
  "rho_g_cm3": 10.9,
  "e_form_raw_kj_per_mol_fu": 92
}

=====

no.,M_tot (μB per formula unit)
1,0.000
2,0.000
3,0.000
4,0.000
5,0.000
6,0.000
7,0.000
8,0.000